1.
DFT (GGA-PBE) results for a relaxed NpSi2TcRh crystal. Values from VASP.

Structure (Quantum ESPRESSO input):
```
&SYSTEM
  ibrav = 0, nat = 5, ntyp = 4
/
ATOMIC_SPECIES
Rh 102.91 Rh.upf
Np 237.00 Np.upf
Si 28.09 Si.upf
Tc 98.00 Tc.upf
CELL_PARAMETERS angstrom
4.163 0.000 0.000
0.000 4.163 0.000
-2.082 -2.082 4.874
ATOMIC_POSITIONS crystal
Rh 0.750 0.250 0.500
Np 0.000 0.000 0.000
Si 0.626 0.626 0.251
Si 0.374 0.374 0.749
Tc 0.250 0.750 0.500
```

As for the space group: I-4m2 (119). Its formation energy from raw total energies is -0.584 eV per atom. The value obtained for the total energy is -44.422 eV/cell. For the total magnetization, the calculation gives 3.7 μB/f.u.

2.
DFT (GGA-PBE) results for a relaxed SmNpRh4 crystal. Values from VASP.

Structure (Quantum ESPRESSO input):
```
&SYSTEM
  ibrav = 0, nat = 6, ntyp = 3
/
ATOMIC_SPECIES
Sm 150.36 Sm.upf
Rh 102.91 Rh.upf
Np 237.00 Np.upf
CELL_PARAMETERS angstrom
5.350 0.000 0.000
2.675 4.633 0.000
2.675 1.544 4.368
ATOMIC_POSITIONS crystal
Sm 0.000 0.000 0.000
Rh 0.625 0.126 0.625
Rh 0.126 0.625 0.625
Rh 0.625 0.625 0.126
Rh 0.625 0.625 0.625
Np 0.250 0.250 0.250
```

As for the space group: F-43m (216). The formation energy comes out at -0.483 eV per atom. The value obtained for the total energy is -49.962 eV/cell. For the total magnetization, the calculation gives 3.6 μB/f.u.

3.
DFT (GGA-PBE) results for a relaxed SmNpRh2 crystal. Values from VASP.

Structure (Quantum ESPRESSO input):
```
&SYSTEM
  ibrav = 0, nat = 4, ntyp = 3
/
ATOMIC_SPECIES
Rh 102.91 Rh.upf
Sm 150.36 Sm.upf
Np 237.00 Np.upf
CELL_PARAMETERS angstrom
-1.006 2.739 -1.791
-2.471 -1.864 -1.463
-4.427 1.780 5.208
ATOMIC_POSITIONS crystal
Rh 0.000 0.000 0.276
Rh 0.000 0.000 0.724
Sm 0.500 0.500 0.000
Np 0.500 0.500 0.500
```

As for the space group: P4/mmm (123). The formation energy comes out at -0.438 eV per atom. The value obtained for the total energy is -34.114 eV/cell. For the total magnetization, the calculation gives 3.3 μB/f.u.